Below is a relaxed structure of AlZn2Cl, with properties calculated at the PBE level.

Its offset from the most stable computed form is 0.000 eV per atom. The uncorrected formation energy comes out at -0.14 eV/atom.

Structure (CIF):
```
data_AlZn2Cl
_chemical_formula_sum 'Al3 Zn6 Cl3'
_cell_length_a 3.2048
_cell_length_b 3.2048
_cell_length_c 29.0668
_cell_angle_alpha 90.00
_cell_angle_beta 90.00
_cell_angle_gamma 120.00
_symmetry_space_group_name_H-M 'R 3 m'
_symmetry_Int_Tables_number 160
_symmetry_space_group_name_Hall 'R 3 -2"'
loop_
_atom_site_label
_atom_site_fract_x
_atom_site_fract_y
_atom_site_fract_z
Al1 0.0000 0.0000 0.0000
Zn1 0.0000 0.0000 0.4619
Zn2 0.0000 0.0000 0.7301
Cl1 0.0000 0.0000 0.2758
```

***

Below is a relaxed structure of CaScVRu2, with properties calculated at the PBE level.

Its offset from the most stable computed form is 0.000 eV per atom.

Structure (CIF):
```
data_CaScVRu2
_chemical_formula_sum 'Ca1 Sc1 V1 Ru2'
_cell_length_a 4.5562
_cell_length_b 4.5562
_cell_length_c 4.8305
_cell_angle_alpha 90.00
_cell_angle_beta 90.00
_cell_angle_gamma 90.00
_symmetry_space_group_name_H-M 'P 4/m m m'
_symmetry_Int_Tables_number 123
_symmetry_space_group_name_Hall '-P 4 2'
loop_
_atom_site_label
_atom_site_fract_x
_atom_site_fract_y
_atom_site_fract_z
Ca1 0.0000 0.0000 0.0000
Sc1 0.5000 0.5000 0.0000
V1 0.0000 0.0000 0.5000
Ru1 0.0000 0.5000 0.5000
```

***

Below is a relaxed structure of OsRuPb2, with properties calculated at the PBE level.

Its offset from the most stable computed form is 0.426 eV per atom.

Structure (CIF):
```
data_OsRuPb2
_chemical_formula_sum 'Os2 Ru2 Pb4'
_cell_length_a 8.7358
_cell_length_b 3.2377
_cell_length_c 5.6245
_cell_angle_alpha 90.00
_cell_angle_beta 102.36
_cell_angle_gamma 90.00
_symmetry_space_group_name_H-M 'C 1 2/m 1'
_symmetry_Int_Tables_number 12
loop_
_symmetry_equiv_pos_as_xyz
'x,y,z'
'-x,-y,-z'
'-x,y,-z'
'x,-y,z'
'x+1/2,y+1/2,z'
'-x+1/2,-y+1/2,-z'
'-x+1/2,y+1/2,-z'
'x+1/2,-y+1/2,z'
loop_
_atom_site_label
_atom_site_fract_x
_atom_site_fract_y
_atom_site_fract_z
Os1 0.0000 0.0000 0.0000
Ru1 0.0000 0.5000 0.5000
Pb1 0.2494 0.0000 0.7495
```

***

Below is a relaxed structure of Sr2Li3Tl2, with properties calculated at the PBE level.

The calculation puts the calculated total energy at -31.25 eV/cell.

Structure (CIF):
```
data_Sr2Li3Tl2
_chemical_formula_sum 'Sr4 Li6 Tl4'
_cell_length_a 12.0431
_cell_length_b 4.8058
_cell_length_c 7.8052
_cell_angle_alpha 90.00
_cell_angle_beta 115.31
_cell_angle_gamma 90.00
_symmetry_space_group_name_H-M 'C 1 2/m 1'
_symmetry_Int_Tables_number 12
loop_
_symmetry_equiv_pos_as_xyz
'x,y,z'
'-x,-y,-z'
'-x,y,-z'
'x,-y,z'
'x+1/2,y+1/2,z'
'-x+1/2,-y+1/2,-z'
'-x+1/2,y+1/2,-z'
'x+1/2,-y+1/2,z'
loop_
_atom_site_label
_atom_site_fract_x
_atom_site_fract_y
_atom_site_fract_z
Sr1 0.1428 0.0000 0.2708
Li1 0.0000 0.5000 0.5000
Li2 0.1451 0.5000 0.9297
Tl1 0.1371 0.0000 0.7143
```

***

Below is a relaxed structure of BaErPb, with properties calculated at the PBE level.

The calculation puts the calculated total energy at -46.07 eV/cell.

Structure (CIF):
```
data_BaErPb
_chemical_formula_sum 'Ba4 Er4 Pb4'
_cell_length_a 7.1431
_cell_length_b 7.1421
_cell_length_c 9.0040
_cell_angle_alpha 90.00
_cell_angle_beta 90.04
_cell_angle_gamma 90.00
_symmetry_space_group_name_H-M 'C 1 2/m 1'
_symmetry_Int_Tables_number 12
loop_
_symmetry_equiv_pos_as_xyz
'x,y,z'
'-x,-y,-z'
'-x,y,-z'
'x,-y,z'
'x+1/2,y+1/2,z'
'-x+1/2,-y+1/2,-z'
'-x+1/2,y+1/2,-z'
'x+1/2,-y+1/2,z'
loop_
_atom_site_label
_atom_site_fract_x
_atom_site_fract_y
_atom_site_fract_z
Ba1 0.2496 0.0000 0.1511
Er1 0.0000 0.2499 0.5000
Pb1 0.2503 0.0000 0.7267
```

***

Below is a relaxed structure of Li2UBr6, with properties calculated at the PBE level.

Its offset from the most stable computed form is 0.027 eV per atom. The uncorrected formation energy comes out at -1.38 eV/atom.

Structure (CIF):
```
data_Li2UBr6
_chemical_formula_sum 'Li4 U2 Br12'
_cell_length_a 6.6784
_cell_length_b 6.6784
_cell_length_c 12.2038
_cell_angle_alpha 90.00
_cell_angle_beta 90.00
_cell_angle_gamma 90.00
_symmetry_space_group_name_H-M 'P 42/m n m'
_symmetry_Int_Tables_number 136
_symmetry_space_group_name_Hall '-P 4n 2n'
loop_
_atom_site_label
_atom_site_fract_x
_atom_site_fract_y
_atom_site_fract_z
Li1 0.0000 0.0000 0.1656
U1 0.0000 0.0000 0.5000
Br1 0.1987 0.1987 0.3320
Br2 0.2008 0.2008 0.0000
```

***

Below is a relaxed structure of NaGePdRh, with properties calculated at the PBE level.

The calculation puts the calculated total energy at -77.46 eV/cell.

Structure (CIF):
```
data_NaGePdRh
_chemical_formula_sum 'Na4 Ge4 Pd4 Rh4'
_cell_length_a 6.2246
_cell_length_b 6.2246
_cell_length_c 6.2246
_cell_angle_alpha 90.00
_cell_angle_beta 90.00
_cell_angle_gamma 90.00
_symmetry_space_group_name_H-M 'F -4 3 m'
_symmetry_Int_Tables_number 216
_symmetry_space_group_name_Hall 'F -4 2 3'
loop_
_atom_site_label
_atom_site_fract_x
_atom_site_fract_y
_atom_site_fract_z
Na1 0.0000 0.0000 0.0000
Ge1 0.0000 0.0000 0.5000
Pd1 0.2500 0.2500 0.2500
Rh1 0.2500 0.2500 0.7500
```

***

Below is a relaxed structure of La3FeSe, with properties calculated at the PBE level.

Its offset from the most stable computed form is 0.000 eV per atom. The uncorrected formation energy comes out at -0.44 eV/atom.

Structure (CIF):
```
data_La3FeSe
_chemical_formula_sum 'La3 Fe1 Se1'
_cell_length_a 5.2072
_cell_length_b 5.2072
_cell_length_c 5.2072
_cell_angle_alpha 90.00
_cell_angle_beta 90.00
_cell_angle_gamma 90.00
_symmetry_space_group_name_H-M 'P m -3 m'
_symmetry_Int_Tables_number 221
_symmetry_space_group_name_Hall '-P 4 2 3'
loop_
_atom_site_label
_atom_site_fract_x
_atom_site_fract_y
_atom_site_fract_z
La1 0.0000 0.0000 0.5000
Fe1 0.0000 0.0000 0.0000
Se1 0.5000 0.5000 0.5000
```

***

Below is a relaxed structure of KSr2VAg, with properties calculated at the PBE level.

The calculation puts the calculated total energy at -10.09 eV/cell.

Structure (CIF):
```
data_KSr2VAg
_chemical_formula_sum 'K1 Sr2 V1 Ag1'
_cell_length_a 6.4494
_cell_length_b 6.4494
_cell_length_c 5.2370
_cell_angle_alpha 90.00
_cell_angle_beta 90.00
_cell_angle_gamma 90.00
_symmetry_space_group_name_H-M 'P 4/m m m'
_symmetry_Int_Tables_number 123
_symmetry_space_group_name_Hall '-P 4 2'
loop_
_atom_site_label
_atom_site_fract_x
_atom_site_fract_y
_atom_site_fract_z
K1 0.0000 0.0000 0.0000
Sr1 0.0000 0.5000 0.0000
V1 0.5000 0.5000 0.5000
Ag1 0.0000 0.0000 0.5000
```

***

Below is a relaxed structure of KScTe2N, with properties calculated at the PBE level.

Its offset from the most stable computed form is 1.395 eV per atom. The uncorrected formation energy comes out at 1.10 eV/atom.

Structure (CIF):
```
data_KScTe2N
_chemical_formula_sum 'K1 Sc1 Te2 N1'
_cell_length_a 5.9605
_cell_length_b 5.9605
_cell_length_c 4.5998
_cell_angle_alpha 90.00
_cell_angle_beta 90.00
_cell_angle_gamma 90.00
_symmetry_space_group_name_H-M 'P 4/m m m'
_symmetry_Int_Tables_number 123
_symmetry_space_group_name_Hall '-P 4 2'
loop_
_atom_site_label
_atom_site_fract_x
_atom_site_fract_y
_atom_site_fract_z
K1 0.0000 0.0000 0.0000
Sc1 0.5000 0.5000 0.5000
Te1 0.0000 0.5000 0.0000
N1 0.0000 0.0000 0.5000
```

***

Below is a relaxed structure of YAlPd6, with properties calculated at the PBE level.

Its offset from the most stable computed form is 0.000 eV per atom.

Structure (CIF):
```
data_YAlPd6
_chemical_formula_sum 'Y1 Al1 Pd6'
_cell_length_a 4.0577
_cell_length_b 4.0577
_cell_length_c 7.9180
_cell_angle_alpha 90.00
_cell_angle_beta 90.00
_cell_angle_gamma 90.00
_symmetry_space_group_name_H-M 'P 4/m m m'
_symmetry_Int_Tables_number 123
_symmetry_space_group_name_Hall '-P 4 2'
loop_
_atom_site_label
_atom_site_fract_x
_atom_site_fract_y
_atom_site_fract_z
Y1 0.0000 0.0000 0.0000
Al1 0.0000 0.0000 0.5000
Pd1 0.0000 0.5000 0.2694
Pd2 0.5000 0.5000 0.0000
Pd3 0.5000 0.5000 0.5000
```

***

Below is a relaxed structure of MgTe2Cl, with properties calculated at the PBE level.

Its offset from the most stable computed form is 0.104 eV per atom. The uncorrected formation energy comes out at -0.63 eV/atom.

Structure (CIF):
```
data_MgTe2Cl
_chemical_formula_sum 'Mg1 Te2 Cl1'
_cell_length_a 6.1280
_cell_length_b 3.6320
_cell_length_c 6.1300
_cell_angle_alpha 90.00
_cell_angle_beta 100.98
_cell_angle_gamma 90.00
_symmetry_space_group_name_H-M 'P 1 m 1'
_symmetry_Int_Tables_number 6
loop_
_symmetry_equiv_pos_as_xyz
'x,y,z'
'x,-y,z'
loop_
_atom_site_label
_atom_site_fract_x
_atom_site_fract_y
_atom_site_fract_z
Mg1 0.0000 0.0000 0.0000
Te1 0.0549 0.5000 0.6072
Te2 0.3303 0.0000 0.4000
Cl1 0.7424 0.5000 0.0094
```

***

Below is a relaxed structure of AsPb3, with properties calculated at the PBE level.

Its offset from the most stable computed form is 0.000 eV per atom.

Structure (CIF):
```
data_AsPb3
_chemical_formula_sum 'As2 Pb6'
_cell_length_a 3.9776
_cell_length_b 10.6834
_cell_length_c 5.5428
_cell_angle_alpha 90.00
_cell_angle_beta 90.00
_cell_angle_gamma 90.00
_symmetry_space_group_name_H-M 'I m m 2'
_symmetry_Int_Tables_number 44
loop_
_symmetry_equiv_pos_as_xyz
'x,y,z'
'-x,-y,z'
'-x,y,z'
'x,-y,z'
'x+1/2,y+1/2,z+1/2'
'-x+1/2,-y+1/2,z+1/2'
'-x+1/2,y+1/2,z+1/2'
'x+1/2,-y+1/2,z+1/2'
loop_
_atom_site_label
_atom_site_fract_x
_atom_site_fract_y
_atom_site_fract_z
As1 0.0000 0.0000 0.0000
Pb1 0.0000 0.2884 0.3729
Pb2 0.0000 0.5000 0.9016
```

***

Below is a relaxed structure of CaSn2Bi2, with properties calculated at the PBE level.

The calculation puts the calculated total energy at -36.31 eV/cell.

Structure (CIF):
```
data_CaSn2Bi2
_chemical_formula_sum 'Ca2 Sn4 Bi4'
_cell_length_a 4.6303
_cell_length_b 4.6303
_cell_length_c 15.5298
_cell_angle_alpha 90.00
_cell_angle_beta 90.00
_cell_angle_gamma 90.00
_symmetry_space_group_name_H-M 'I 4/m m m'
_symmetry_Int_Tables_number 139
_symmetry_space_group_name_Hall '-I 4 2'
loop_
_atom_site_label
_atom_site_fract_x
_atom_site_fract_y
_atom_site_fract_z
Ca1 0.0000 0.0000 0.0000
Sn1 0.0000 0.0000 0.4072
Bi1 0.0000 0.5000 0.2500
```

***

Below is a relaxed structure of AcUPb2Se6, with properties calculated at the PBE level.

The uncorrected formation energy comes out at -1.06 eV/atom.

Structure (CIF):
```
data_AcUPb2Se6
_chemical_formula_sum 'Ac3 U3 Pb6 Se18'
_cell_length_a 7.6182
_cell_length_b 7.6182
_cell_length_c 19.9085
_cell_angle_alpha 90.00
_cell_angle_beta 90.00
_cell_angle_gamma 120.00
_symmetry_space_group_name_H-M 'R 3'
_symmetry_Int_Tables_number 146
_symmetry_space_group_name_Hall 'R 3'
loop_
_atom_site_label
_atom_site_fract_x
_atom_site_fract_y
_atom_site_fract_z
Ac1 0.0000 0.0000 0.0000
U1 0.0000 0.0000 0.4940
Pb1 0.0000 0.0000 0.2960
Pb2 0.0000 0.0000 0.8019
Se1 0.0066 0.3813 0.2342
Se2 0.0525 0.6750 0.0734
```